# SrTmCuTeSe2 GGA-PBE optimized geometry
data_SrTmCuTeSe2
_symmetry_space_group_name_H-M 'C m c m'
_symmetry_Int_Tables_number 63
_symmetry_space_group_name_Hall '-C 2c 2'
_cell_length_a 4.096
_cell_length_b 14.220
_cell_length_c 10.922
_cell_angle_alpha 90.00
_cell_angle_beta 90.00
_cell_angle_gamma 90.00
loop_
_atom_site_label
_atom_site_type_symbol
_atom_site_fract_x
_atom_site_fract_y
_atom_site_fract_z
_atom_site_occupancy
Sr1 Sr 0.000 0.223 0.250 1
Tm1 Tm 0.000 0.000 0.000 1
Cu1 Cu 0.000 0.475 0.750 1
Te1 Te 0.000 0.092 0.750 1
Se1 Se 0.000 0.371 0.569 1
# Crystal system   orthorhombic
# Calculated volume   26.5 Å³/atom
# Spin magnetization   0.00 μB/atom
# Energy   -4.7419 eV/atom